The following is a DFT calculation (PBE) of a relaxed structure of PtPbSO.

Properties
total magnetic moment: 0.0 μB/f.u.
calculated volume: 18.90 Å³ per atom
energy relative to the lowest polymorph listed for this composition: 402.6 meV/atom
final energy: -4.843 eV/atom

CIF file:
```
data_PtPbSO
_cell_length_a 4.255
_cell_length_b 4.255
_cell_length_c 8.349
_cell_angle_alpha 90.00
_cell_angle_beta 90.00
_cell_angle_gamma 90.00
_symmetry_space_group_name_H-M 'P 4/n m m'
_symmetry_Int_Tables_number 129
loop_
_symmetry_equiv_pos_as_xyz
'x,y,z'
'-x,-y,-z'
'-y+1/2,x,z'
'y+1/2,-x,-z'
'-x+1/2,-y+1/2,z'
'x+1/2,y+1/2,-z'
'y,-x+1/2,z'
'-y,x+1/2,-z'
'x+1/2,-y,-z'
'-x+1/2,y,z'
'-y,-x,-z'
'y,x,z'
'-x,y+1/2,-z'
'x,-y+1/2,z'
'y+1/2,x+1/2,-z'
'-y+1/2,-x+1/2,z'
loop_
_atom_site_label
_atom_site_type_symbol
_atom_site_fract_x
_atom_site_fract_y
_atom_site_fract_z
Pt1 Pt 0.250 0.250 0.047
Pb1 Pb 0.250 0.250 0.686
S1 S 0.250 0.250 0.348
O1 O 0.250 0.750 0.000
```